A relaxed GaPt2Cl crystal. Source: Alexandria via LeMat-Bulk, functional PBE-GGA.

Computed properties:
Raw formation energy = 47 meV per atom
Crystal system = tetragonal
Magnetic moment = 0.000 μB/cell
N(E_F) = 3.924 states/eV per cell

Cell lengths 4.0753, 4.0753, 9.0913 Å; angles 77.05, 77.05, 90.00 degrees
Positions (direct):
1 Ga 0.0000 0.0000 0.0000
2 Ga 0.7500 0.2500 0.5000
3 Pt 0.6365 0.1250 0.2500
4 Pt 0.1135 0.6250 0.2500
5 Pt 0.3750 0.3635 0.7500
6 Pt 0.8750 0.8865 0.7500
7 Cl 0.5000 0.5000 0.0000
8 Cl 0.2500 0.7500 0.5000

***

A relaxed Sm4GaPtCl2 crystal. Source: Alexandria via LeMat-Bulk, functional PBE-GGA.

Computed properties:
Raw formation energy = -1136 meV per atom
Crystal system = monoclinic
Magnetic moment = 0.000 μB/cell
N(E_F) = 6.109 states/eV per cell

Cell lengths 4.0353, 7.3849, 7.5234 Å; angles 71.11, 90.00, 90.00 degrees
Positions (direct):
1 Sm 0.0000 0.7182 0.7633
2 Sm 0.0000 0.2818 0.2367
3 Sm 0.5000 0.7386 0.2419
4 Sm 0.5000 0.2614 0.7581
5 Ga 0.0000 0.5000 0.5000
6 Pt 0.5000 0.5000 0.0000
7 Cl 0.0000 0.0000 0.0000
8 Cl 0.5000 0.0000 0.5000

***

A relaxed Tl2GaPtCl crystal. Source: Alexandria via LeMat-Bulk, functional PBE-GGA.

Computed properties:
Raw formation energy = -491 meV per atom
Crystal system = tetragonal
Magnetic moment = 0.000 μB/cell
N(E_F) = 1.067 states/eV per cell

Cell lengths 5.3931, 5.3931, 4.8413 Å; angles 90.00, 90.00, 90.00 degrees
Positions (direct):
1 Tl 0.0000 0.5000 0.0000
2 Tl 0.5000 0.0000 0.0000
3 Ga 0.0000 0.0000 0.5000
4 Pt 0.0000 0.0000 0.0000
5 Cl 0.5000 0.5000 0.5000

***

raw formation energy of number 2 (Sm4GaPtCl2)? -1136 meV per atom

***

Which of these has the lowest raw formation energy? Sm4GaPtCl2

***

What did the first record say?
A relaxed GaPt2Cl crystal. Source: Alexandria via LeMat-Bulk, functional PBE-GGA.

Computed properties:
Raw formation energy = 47 meV per atom
Crystal system = tetragonal
Magnetic moment = 0.000 μB/cell
N(E_F) = 3.924 states/eV per cell

Cell lengths 4.0753, 4.0753, 9.0913 Å; angles 77.05, 77.05, 90.00 degrees
Positions (direct):
1 Ga 0.0000 0.0000 0.0000
2 Ga 0.7500 0.2500 0.5000
3 Pt 0.6365 0.1250 0.2500
4 Pt 0.1135 0.6250 0.2500
5 Pt 0.3750 0.3635 0.7500
6 Pt 0.8750 0.8865 0.7500
7 Cl 0.5000 0.5000 0.0000
8 Cl 0.2500 0.7500 0.5000

***

Which of these has the lowest N(E_F)? Tl2GaPtCl